Record 1
Below is crystalline Sc3Ta at its relaxed geometry, with properties calculated at the GGA-PBE level.

a = 3.1320 Å, b = 3.1320 Å, c = 31.3513 Å
α = 90.00°, β = 90.00°, γ = 120.00°
Space group R-3m (No. 166, hexagonal axes)
Inequivalent atoms, fractional coordinates:
Sc 0.0000 0.0000 0.0000
Sc 0.0000 0.0000 0.2444
Ta 0.0000 0.0000 0.5000

Summary:
calculated volume: 88.8 Å³/f.u.
energy of formation: 0.156 eV per atom
total magnetic moment: 0.0 μB per cell
E_tot: -90.7 eV for the cell shown

---

Record 2
Below is crystalline Nb6MoRu5 at its relaxed geometry, with properties calculated at the GGA-PBE level.

a = 4.5187 Å, b = 6.2883 Å, c = 13.6982 Å
α = 90.00°, β = 90.00°, γ = 90.00°
Space group Immm (No. 71)
Inequivalent atoms, fractional coordinates:
Nb 0.0000 0.2485 0.0000
Nb 0.0000 0.2513 0.3377
Mo 0.0000 0.0000 0.5000
Ru 0.0000 0.0000 0.1763
Ru 0.0000 0.5000 0.1692
Ru 0.0000 0.5000 0.5000

Summary:
calculated volume: 194.6 Å³/f.u.
energy of formation: -0.209 eV per atom
total magnetic moment: 0.0 μB per cell
E_tot: -240.3 eV for the cell shown

---

Record 3
Below is crystalline Ni2SbRh at its relaxed geometry, with properties calculated at the GGA-PBE level.

a = 3.7326 Å, b = 3.7326 Å, c = 17.8562 Å
α = 90.00°, β = 90.00°, γ = 90.00°
Space group I-42d (No. 122)
Inequivalent atoms, fractional coordinates:
Ni 0.2388 0.2500 0.1250
Sb 0.0000 0.0000 0.5000
Rh 0.0000 0.0000 0.0000

Summary:
calculated volume: 62.2 Å³/f.u.
uncorrected formation energy: 61 kJ/mol of formula units
total magnetic moment: 0.0 μB per cell
E_tot: -89.6 eV for the cell shown

---

Record 4
Below is crystalline KBe2Pt at its relaxed geometry, with properties calculated at the GGA-PBE level.

a = 4.0837 Å, b = 4.0837 Å, c = 8.1087 Å
α = 90.00°, β = 90.00°, γ = 90.00°
Space group I-4m2 (No. 119)
Inequivalent atoms, fractional coordinates:
K 0.0000 0.0000 0.0000
Be 0.0000 0.0000 0.5000
Be 0.0000 0.5000 0.2500
Pt 0.0000 0.5000 0.7500

Summary:
calculated volume: 67.6 Å³/f.u.
energy of formation: 0.918 eV per atom
total magnetic moment: 0.0 μB per cell
E_tot: -21.8 eV for the cell shown

---

Record 5
Below is crystalline CaSnH8Ir2 at its relaxed geometry, with properties calculated at the GGA-PBE level.

a = 4.5280 Å, b = 4.5280 Å, c = 21.0490 Å
α = 90.00°, β = 90.00°, γ = 120.00°
Space group R-3 (No. 148, hexagonal axes)
Inequivalent atoms, fractional coordinates:
Ca 0.0000 0.0000 0.0000
Sn 0.0000 0.0000 0.5000
H 0.0000 0.0000 0.3090
H 0.0055 0.7167 0.9106
Ir 0.0000 0.0000 0.2329

Summary:
calculated volume: 124.6 Å³/f.u.
total magnetic moment: 0.0 μB per cell
E_tot: -151.6 eV for the cell shown

---

Record 6
Below is crystalline CaHoH2 at its relaxed geometry, with properties calculated at the GGA-PBE level.

a = 3.6687 Å, b = 3.6687 Å, c = 18.3366 Å
α = 90.00°, β = 90.00°, γ = 120.00°
Space group R3m (No. 160, hexagonal axes)
Inequivalent atoms, fractional coordinates:
Ca 0.0000 0.0000 0.0000
Ho 0.0000 0.0000 0.1845
H 0.0000 0.0000 0.5822
H 0.0000 0.0000 0.8658

Summary:
calculated volume: 71.2 Å³/f.u.
total magnetic moment: 2.7 μB per cell
E_tot: -43.3 eV for the cell shown

---

Record 7
Below is crystalline LaSiH6 at its relaxed geometry, with properties calculated at the GGA-PBE level.

a = 6.6137 Å, b = 6.6137 Å, c = 5.9557 Å
α = 90.00°, β = 90.00°, γ = 120.00°
Space group R-3m (No. 166, hexagonal axes)
Inequivalent atoms, fractional coordinates:
La 0.0000 0.0000 0.0000
Si 0.0000 0.0000 0.5000
H 0.1033 0.5517 0.3286

Summary:
calculated volume: 75.2 Å³/f.u.
total magnetic moment: 0.0 μB per cell
E_tot: -96.0 eV for the cell shown

---

Record 8
Below is crystalline PmNdPb at its relaxed geometry, with properties calculated at the GGA-PBE level.

a = 4.7174 Å, b = 4.7174 Å, c = 17.5974 Å
α = 90.00°, β = 90.00°, γ = 90.00°
Space group I4/mmm (No. 139)
Inequivalent atoms, fractional coordinates:
Pm 0.0000 0.5000 0.0000
Nd 0.0000 0.0000 0.1775
Pb 0.0000 0.0000 0.3627

Summary:
calculated volume: 97.9 Å³/f.u.
energy of formation: -0.458 eV per atom
total magnetic moment: 0.0 μB per cell
E_tot: -58.4 eV for the cell shown

---

Record 9
Below is crystalline MnTl2Cl at its relaxed geometry, with properties calculated at the GGA-PBE level.

a = 3.6747 Å, b = 5.7867 Å, c = 10.0055 Å
α = 90.00°, β = 90.00°, γ = 90.00°
Space group Cmm2 (No. 35)
Inequivalent atoms, fractional coordinates:
Mn 0.0000 0.0000 0.0000
Tl 0.0000 0.0000 0.4922
Tl 0.0000 0.5000 0.7728
Cl 0.0000 0.5000 0.1578

Summary:
calculated volume: 106.4 Å³/f.u.
uncorrected formation energy: -46 kJ/mol of formula units
total magnetic moment: 9.0 μB per cell
E_tot: -32.4 eV for the cell shown

---

Record 10
Below is crystalline Be3VSi at its relaxed geometry, with properties calculated at the GGA-PBE level.

a = 4.1959 Å, b = 4.1959 Å, c = 4.1959 Å
α = 90.00°, β = 90.00°, γ = 90.00°
Space group Pm-3m (No. 221)
Inequivalent atoms, fractional coordinates:
Be 0.0000 0.0000 0.5000
V 0.0000 0.0000 0.0000
Si 0.5000 0.5000 0.5000

Summary:
calculated volume: 73.9 Å³/f.u.
uncorrected formation energy: 765 kJ/mol of formula units
total magnetic moment: 1.0 μB per cell
E_tot: -17.8 eV for the cell shown

---

Record 11
Below is crystalline Pu4Bi2F at its relaxed geometry, with properties calculated at the GGA-PBE level.

a = 4.8481 Å, b = 4.8481 Å, c = 16.9170 Å
α = 90.00°, β = 90.00°, γ = 90.00°
Space group I4/mmm (No. 139)
Inequivalent atoms, fractional coordinates:
Pu 0.0000 0.0000 0.1703
Pu 0.0000 0.5000 0.0000
Bi 0.0000 0.0000 0.3613
F 0.0000 0.0000 0.0000

Summary:
calculated volume: 198.8 Å³/f.u.
uncorrected formation energy: -523 kJ/mol of formula units
total magnetic moment: 50.0 μB per cell
E_tot: -144.8 eV for the cell shown

---

Record 12
Below is crystalline TiFeTe2N at its relaxed geometry, with properties calculated at the GGA-PBE level.

a = 5.2519 Å, b = 5.2519 Å, c = 3.4186 Å
α = 90.00°, β = 90.00°, γ = 90.00°
Space group P4/mmm (No. 123)
Inequivalent atoms, fractional coordinates:
Ti 0.0000 0.0000 0.0000
Fe 0.5000 0.5000 0.5000
Te 0.0000 0.5000 0.5000
N 0.5000 0.5000 0.0000

Summary:
calculated volume: 94.3 Å³/f.u.
uncorrected formation energy: 79 kJ/mol of formula units
total magnetic moment: 1.7 μB per cell
E_tot: -30.1 eV for the cell shown

---

Question: Which of these has the lowest calculated volume?
Answer: Ni2SbRh